Here is a relaxed TlPd4C2Se crystal from OQMD. Energies are from PBE.

Output
uncorrected energy: -5.036 eV per atom

a = 3.2921 Å, b = 3.2921 Å, c = 13.2510 Å
α = 90.00°, β = 90.00°, γ = 120.00°
Space group P-6m2 (No. 187)
Inequivalent atoms, fractional coordinates:
Tl 0.0000 0.0000 0.0000 (multiplicity 1)
Pd 0.0000 0.0000 0.3454 (multiplicity 2)
Pd 0.3333 0.6667 0.1847 (multiplicity 2)
C 0.6667 0.3333 0.2621 (multiplicity 2)
Se 0.3333 0.6667 0.5000 (multiplicity 1)